# CsPmMnO3

CsPmMnO3 after structural relaxation (PBE with a Hubbard U, the Alexandria database).

```
CsPmMnO3
1.0
-2.441 2.004 -2.005
0.586 -5.495 -6.204
-6.561 -2.668 5.320
Pm O Mn Cs
2 6 2 2
Direct
0.250 0.656 0.141
0.750 0.344 0.859
0.750 0.470 0.127
0.250 0.843 0.436
0.750 0.841 0.141
0.750 0.157 0.564
0.250 0.159 0.859
0.250 0.530 0.873
0.250 0.076 0.621
0.750 0.924 0.379
0.750 0.794 0.788
0.250 0.206 0.212
```

Output
**Symmetry**: P2_1/m (11)
**Total DFT energy (no corrections)**: -6.828 eV per atom
**Crystal system**: monoclinic